The following is a DFT calculation (PBE) of an optimized crystal structure of K7CdHg2.

Structure (POSCAR):
```
K7CdHg2
1.0
9.935 -4.647 0.000
9.935 4.647 0.000
-5.690 0.000 10.716
K Cd Hg
14 2 4
direct
0.083 0.917 0.750
0.088 0.628 0.991
0.190 0.412 0.640
0.209 0.603 0.405
0.372 0.912 0.509
0.397 0.791 0.095
0.412 0.190 0.140
0.588 0.810 0.860
0.603 0.209 0.905
0.628 0.088 0.491
0.791 0.397 0.595
0.810 0.588 0.360
0.912 0.372 0.009
0.917 0.083 0.250
0.494 0.506 0.750
0.506 0.494 0.250
0.198 0.202 0.311
0.202 0.198 0.811
0.798 0.802 0.189
0.802 0.798 0.689
```

DFT total energy in eV/atom: -1.021
Energy relative to the elements in eV per formula unit: -1.0
Space group: C2/c, No. 15

---

The following is a DFT calculation (PBE) of an optimized crystal structure of PrErMnHg.

Structure (POSCAR):
```
PrErMnHg
1.0
7.405 0.000 0.000
0.000 7.405 0.000
0.000 0.000 7.405
Pr Er Mn Hg
4 4 4 4
direct
0.000 0.000 0.000
0.000 0.500 0.500
0.500 0.000 0.500
0.500 0.500 0.000
0.000 0.000 0.500
0.000 0.500 0.000
0.500 0.000 0.000
0.500 0.500 0.500
0.250 0.250 0.250
0.250 0.750 0.750
0.750 0.250 0.750
0.750 0.750 0.250
0.250 0.250 0.750
0.250 0.750 0.250
0.750 0.250 0.250
0.750 0.750 0.750
```

DFT total energy in eV/atom: -4.755
Energy relative to the elements in eV per formula unit: -0.2
Space group: F-43m, No. 216

---

The following is a DFT calculation (PBE) of an optimized crystal structure of Pm6TmTl6.

Structure (POSCAR):
```
Pm6TmTl6
1.0
6.522 0.000 0.000
-3.261 5.648 0.000
0.000 0.000 10.856
Pm Tm Tl
6 1 6
direct
0.000 0.000 0.170
0.000 0.000 0.830
0.333 0.667 0.000
0.333 0.667 0.500
0.667 0.333 0.000
0.667 0.333 0.500
0.000 0.000 0.500
0.000 0.500 0.253
0.000 0.500 0.747
0.500 0.000 0.253
0.500 0.000 0.747
0.500 0.500 0.253
0.500 0.500 0.747
```

DFT total energy in eV/atom: -3.828
Energy relative to the elements in eV per formula unit: -2.6
Space group: P6/mmm, No. 191

---

The following is a DFT calculation (PBE) of an optimized crystal structure of As4IrCl.

Structure (POSCAR):
```
As4IrCl
1.0
0.000 3.887 3.887
3.887 0.000 3.887
3.887 3.887 0.000
As Ir Cl
4 1 1
direct
0.119 0.119 0.119
0.119 0.119 0.642
0.119 0.642 0.119
0.642 0.119 0.119
0.500 0.500 0.500
0.750 0.750 0.750
```

DFT total energy in eV/atom: -4.052
Space group: F-43m, No. 216
Formation energy (no corrections) in eV/atom: 0.83

---

The following is a DFT calculation (PBE) of an optimized crystal structure of CaP2Pd.

Structure (POSCAR):
```
CaP2Pd
1.0
3.867 0.000 0.000
0.000 5.447 0.000
0.000 0.000 7.716
Ca P Pd
2 4 2
direct
0.000 0.000 0.000
0.000 0.500 0.500
0.500 0.197 0.717
0.500 0.303 0.217
0.500 0.697 0.217
0.500 0.803 0.717
0.500 0.000 0.433
0.500 0.500 0.933
```

DFT total energy in eV/atom: -5.181
Energy relative to the elements in eV per formula unit: -2.7
Space group: Amm2, No. 38
Energy relative to the lowest polymorph listed for this composition in eV/atom: 0.009

---

The following is a DFT calculation (PBE) of an optimized crystal structure of LaPm2Dy2Mg.

Structure (POSCAR):
```
LaPm2Dy2Mg
1.0
5.619 0.000 0.000
0.000 18.901 0.000
0.000 0.000 3.723
La Pm Dy Mg
2 4 4 2
direct
0.000 0.000 0.000
0.500 0.500 0.500
0.001 0.185 0.500
0.499 0.685 0.000
0.501 0.315 0.000
0.999 0.815 0.500
0.001 0.368 0.500
0.499 0.868 0.000
0.501 0.132 0.000
0.999 0.632 0.500
0.000 0.500 0.000
0.500 0.000 0.500
```

DFT total energy in eV/atom: -4.119
Energy relative to the elements in eV per formula unit: 0.5
Space group: Pnnm, No. 58

---

The following is a DFT calculation (PBE) of an optimized crystal structure of NaSn5Au4.

Structure (POSCAR):
```
NaSn5Au4
1.0
7.756 -2.300 0.000
7.756 2.300 0.000
-1.340 0.000 7.181
Na Sn Au
1 5 4
direct
0.000 0.000 0.000
0.000 0.000 0.500
0.324 0.324 0.991
0.341 0.341 0.557
0.659 0.659 0.443
0.676 0.676 0.009
0.197 0.197 0.240
0.462 0.462 0.274
0.538 0.538 0.726
0.803 0.803 0.760
```

DFT total energy in eV/atom: -3.606
Energy relative to the elements in eV per formula unit: -1.6
Space group: C2/m, No. 12
Energy relative to the lowest polymorph listed for this composition in eV/atom: 0.000

---

The following is a DFT calculation (PBE) of an optimized crystal structure of Tb6IrSe5.

Structure (POSCAR):
```
Tb6IrSe5
1.0
3.587 -6.204 0.000
3.587 6.204 0.000
-2.395 0.000 6.718
Tb Ir Se
6 1 5
direct
0.077 0.392 0.736
0.234 0.234 0.260
0.392 0.077 0.736
0.608 0.923 0.264
0.766 0.766 0.740
0.923 0.608 0.264
0.000 0.000 0.500
0.176 0.824 0.000
0.335 0.665 0.500
0.500 0.500 0.000
0.665 0.335 0.500
0.824 0.176 0.000
```

DFT total energy in eV/atom: -6.154
Space group: C2/m, No. 12
Formation energy (no corrections) in eV/atom: -1.65

---

The following is a DFT calculation (PBE) of an optimized crystal structure of CrTcMoRu.

Structure (POSCAR):
```
CrTcMoRu
1.0
6.144 0.000 0.000
0.000 6.144 0.000
0.000 0.000 6.144
Cr Tc Mo Ru
4 4 4 4
direct
0.000 0.000 0.000
0.000 0.500 0.500
0.500 0.000 0.500
0.500 0.500 0.000
0.250 0.250 0.750
0.250 0.750 0.250
0.750 0.250 0.250
0.750 0.750 0.750
0.000 0.000 0.500
0.000 0.500 0.000
0.500 0.000 0.000
0.500 0.500 0.500
0.250 0.250 0.250
0.250 0.750 0.750
0.750 0.250 0.750
0.750 0.750 0.250
```

DFT total energy in eV/atom: -9.887
Energy relative to the elements in eV per formula unit: 0.5
Space group: F-43m, No. 216

---

The following is a DFT calculation (PBE) of an optimized crystal structure of RbSrBe2.

Structure (POSCAR):
```
RbSrBe2
1.0
8.755 0.000 0.000
0.000 8.755 0.000
0.000 0.000 7.202
Rb Sr Be
4 4 8
direct
0.000 0.000 0.000
0.000 0.500 0.250
0.500 0.000 0.750
0.500 0.500 0.500
0.000 0.000 0.500
0.000 0.500 0.750
0.500 0.000 0.250
0.500 0.500 0.000
0.231 0.250 0.625
0.250 0.731 0.875
0.250 0.769 0.375
0.269 0.250 0.125
0.731 0.750 0.125
0.750 0.231 0.375
0.750 0.269 0.875
0.769 0.750 0.625
```

DFT total energy in eV/atom: -1.333
Energy relative to the elements in eV per formula unit: 4.8
Space group: I-42d, No. 122
Energy relative to the lowest polymorph listed for this composition in eV/atom: 0.191

---

The following is a DFT calculation (PBE) of an optimized crystal structure of NiHPb.

Structure (POSCAR):
```
NiHPb
1.0
3.155 0.000 0.000
-1.578 2.733 0.000
0.000 0.000 4.852
Ni H Pb
1 1 1
direct
0.000 0.000 0.000
0.667 0.333 0.000
0.333 0.667 0.500
```

DFT total energy in eV/atom: -4.017
Space group: P-6m2, No. 187
Energy relative to the lowest polymorph listed for this composition in eV/atom: 0.116

---

The following is a DFT calculation (PBE) of an optimized crystal structure of CsCuAg2Cl6.

Structure (POSCAR):
```
CsCuAg2Cl6
1.0
8.224 -5.198 0.000
8.224 5.198 0.000
-4.832 0.000 7.809
Cs Cu Ag Cl
2 2 4 12
direct
0.204 0.796 0.750
0.796 0.204 0.250
0.198 0.802 0.250
0.802 0.198 0.750
0.231 0.334 0.838
0.334 0.231 0.338
0.666 0.769 0.662
0.769 0.666 0.162
0.034 0.753 0.317
0.136 0.645 0.982
0.229 0.373 0.586
0.247 0.966 0.183
0.355 0.864 0.518
0.373 0.229 0.086
0.627 0.771 0.914
0.645 0.136 0.482
0.753 0.034 0.817
0.771 0.627 0.414
0.864 0.355 0.018
0.966 0.247 0.683
```

DFT total energy in eV/atom: -2.908
Space group: C2/c, No. 15
Formation energy (no corrections) in eV/atom: -0.73